1.
Computed, not measured: crystalline CeYTc2 at its relaxed geometry at the PBE level of DFT.

Results
For the formation energy, the calculation gives 0.06 eV per atom. The calculation puts the calculated total energy at -8.220 eV per atom. For the theoretical density, the calculation gives 8.735 Mg/m³.

a b c (Å): 4.8525 4.8525 4.8525
angles (deg): 60.00 60.00 60.00
Atoms (fractional coordinates):
Ce 0.0000 0.0000 0.0000
Y 0.5000 0.5000 0.5000
Tc 0.2500 0.2500 0.2500
Tc 0.7500 0.7500 0.7500



2.
Computed, not measured: crystalline CeSnF at its relaxed geometry at the PBE level of DFT.

Results
The value obtained for the formation energy without anion corrections is -1831 meV per atom. The calculation puts the calculated total energy at -5.767 eV per atom. For the theoretical density, the calculation gives 6.364 Mg/m³.

a b c (Å): 4.0444 4.0444 5.1175
angles (deg): 90.00 90.00 120.00
Atoms (fractional coordinates):
Ce 0.0000 0.0000 0.0000
Sn 0.3333 0.6667 0.5000
F 0.6667 0.3333 0.0000



Which formula does entry 2 have? CeSnF



Look up the theoretical density of the second one. 6.364 Mg/m³



The lowest theoretical density belongs to which entry? CeSnF



Look up the calculated total energy of the first one. -8.220 eV per atom